[1]
## K3Sc (PBE)

Data for an optimized crystal structure of K3Sc.

CIF file:
```
data_K3Sc
_chemical_formula_sum 'K9 Sc3'
_cell_length_a 3.9227
_cell_length_b 3.9227
_cell_length_c 44.8611
_cell_angle_alpha 90.00
_cell_angle_beta 90.00
_cell_angle_gamma 120.00
_space_group_name_H-M_alt 'R -3 m'
_space_group_IT_number 166
_space_group_name_Hall '-R 3 2"'
loop_
_atom_site_label
_atom_site_fract_x
_atom_site_fract_y
_atom_site_fract_z
K1 0.0000 0.0000 0.0000
K2 0.0000 0.0000 0.2401
Sc1 0.0000 0.0000 0.5000
```

Results
magnetic moment = 3.5 Bohr magnetons per cell
electronic total energy = -23.3 eV per cell
offset from the most stable computed form = 0.009 eV per formula unit
energy of formation from the pure elements = 0.47 eV per atom



[2]
## K2Sc (PBE)

Data for an optimized crystal structure of K2Sc.

CIF file:
```
data_K2Sc
_chemical_formula_sum 'K2 Sc1'
_cell_length_a 3.7659
_cell_length_b 3.7659
_cell_length_c 10.8098
_cell_angle_alpha 90.00
_cell_angle_beta 90.00
_cell_angle_gamma 120.00
_space_group_name_H-M_alt 'P -3 m 1'
_space_group_IT_number 164
_space_group_name_Hall '-P 3 2"'
loop_
_atom_site_label
_atom_site_fract_x
_atom_site_fract_y
_atom_site_fract_z
K1 0.3333 0.6667 0.1925
Sc1 0.0000 0.0000 0.5000
```

Results
magnetic moment = 1.2 Bohr magnetons per cell
electronic total energy = -6.9 eV per cell
offset from the most stable computed form = 0.255 eV per formula unit
energy of formation from the pure elements = 0.56 eV per atom



[3]
## K2Sc (PBE)

Data for an optimized crystal structure of K2Sc.

CIF file:
```
data_K2Sc
_chemical_formula_sum 'K8 Sc4'
_cell_length_a 7.0859
_cell_length_b 22.5638
_cell_length_c 3.7314
_cell_angle_alpha 90.00
_cell_angle_beta 90.00
_cell_angle_gamma 90.00
_space_group_name_H-M_alt 'C m c m'
_space_group_IT_number 63
_space_group_name_Hall '-C 2c 2'
loop_
_atom_site_label
_atom_site_fract_x
_atom_site_fract_y
_atom_site_fract_z
K1 0.0000 0.0855 0.2500
K2 0.0000 0.2900 0.7500
Sc1 0.0000 0.4470 0.2500
```

Results
magnetic moment = 4.8 Bohr magnetons per cell
electronic total energy = -28.2 eV per cell
offset from the most stable computed form = 0.059 eV per formula unit
energy of formation from the pure elements = 0.49 eV per atom



[4]
## KSc (PBE)

Data for an optimized crystal structure of KSc.

CIF file:
```
data_KSc
_chemical_formula_sum 'K1 Sc1'
_cell_length_a 3.3128
_cell_length_b 3.3128
_cell_length_c 6.7865
_cell_angle_alpha 90.00
_cell_angle_beta 90.00
_cell_angle_gamma 90.00
_space_group_name_H-M_alt 'P 4/m m m'
_space_group_IT_number 123
_space_group_name_Hall '-P 4 2'
loop_
_atom_site_label
_atom_site_fract_x
_atom_site_fract_y
_atom_site_fract_z
K1 0.0000 0.0000 0.0000
Sc1 0.5000 0.5000 0.5000
```

Results
magnetic moment = 0.5 Bohr magnetons per cell
electronic total energy = -5.9 eV per cell
energy of formation from the pure elements = 0.75 eV per atom



[5]
## KSc (PBE)

Data for an optimized crystal structure of KSc.

CIF file:
```
data_KSc
_chemical_formula_sum 'K6 Sc6'
_cell_length_a 16.8691
_cell_length_b 3.4373
_cell_length_c 9.3348
_cell_angle_alpha 90.00
_cell_angle_beta 90.00
_cell_angle_gamma 90.00
_space_group_name_H-M_alt 'P m n 21'
_space_group_IT_number 31
loop_
_space_group_symop_operation_xyz
'x,y,z'
'-x+1/2,-y,z+1/2'
'-x,y,z'
'x+1/2,-y,z+1/2'
loop_
_atom_site_label
_atom_site_fract_x
_atom_site_fract_y
_atom_site_fract_z
K1 0.0000 0.2390 0.0000
K2 0.2135 0.7552 0.6933
Sc1 0.0000 0.2387 0.5806
Sc2 0.0863 0.7376 0.3575
```

Results
magnetic moment = 1.8 Bohr magnetons per cell
electronic total energy = -38.1 eV per cell
energy of formation from the pure elements = 0.54 eV per atom



[6]
## KSc3 (PBE)

Data for an optimized crystal structure of KSc3.

CIF file:
```
data_KSc3
_chemical_formula_sum 'K3 Sc9'
_cell_length_a 3.3630
_cell_length_b 3.3630
_cell_length_c 36.4440
_cell_angle_alpha 90.00
_cell_angle_beta 90.00
_cell_angle_gamma 120.00
_space_group_name_H-M_alt 'R -3 m'
_space_group_IT_number 166
_space_group_name_Hall '-R 3 2"'
loop_
_atom_site_label
_atom_site_fract_x
_atom_site_fract_y
_atom_site_fract_z
K1 0.0000 0.0000 0.0000
Sc1 0.0000 0.0000 0.2362
Sc2 0.0000 0.0000 0.5000
```

Results
magnetic moment = 0.0 Bohr magnetons per cell
electronic total energy = -56.3 eV per cell
energy of formation from the pure elements = 0.33 eV per atom



[7]
## KSc (PBE)

Data for an optimized crystal structure of KSc.

CIF file:
```
data_KSc
_chemical_formula_sum 'K4 Sc4'
_cell_length_a 10.6806
_cell_length_b 3.3819
_cell_length_c 9.6425
_cell_angle_alpha 90.00
_cell_angle_beta 92.74
_cell_angle_gamma 90.00
_space_group_name_H-M_alt 'C 1 2/m 1'
_space_group_IT_number 12
loop_
_space_group_symop_operation_xyz
'x,y,z'
'-x,-y,-z'
'-x,y,-z'
'x,-y,z'
'x+1/2,y+1/2,z'
'-x+1/2,-y+1/2,-z'
'-x+1/2,y+1/2,-z'
'x+1/2,-y+1/2,z'
loop_
_atom_site_label
_atom_site_fract_x
_atom_site_fract_y
_atom_site_fract_z
K1 0.1200 0.0000 0.3226
Sc1 0.1351 0.5000 0.9503
```

Results
magnetic moment = 2.6 Bohr magnetons per cell
electronic total energy = -24.9 eV per cell
energy of formation from the pure elements = 0.60 eV per atom



[8]
## KSc3 (PBE)

Data for an optimized crystal structure of KSc3.

CIF file:
```
data_KSc3
_chemical_formula_sum 'K4 Sc12'
_cell_length_a 5.8828
_cell_length_b 11.4393
_cell_length_c 6.9870
_cell_angle_alpha 90.00
_cell_angle_beta 90.00
_cell_angle_gamma 90.00
_space_group_name_H-M_alt 'P n m a'
_space_group_IT_number 62
loop_
_space_group_symop_operation_xyz
'x,y,z'
'-x,-y,-z'
'-x+1/2,-y,z+1/2'
'x+1/2,y,-z+1/2'
'x+1/2,-y+1/2,-z+1/2'
'-x+1/2,y+1/2,z+1/2'
'-x,y+1/2,-z'
'x,-y+1/2,z'
loop_
_atom_site_label
_atom_site_fract_x
_atom_site_fract_y
_atom_site_fract_z
K1 0.0520 0.2500 0.1538
Sc1 0.0883 0.2500 0.6539
Sc2 0.2335 0.5204 0.3822
```

Results
magnetic moment = 3.7 Bohr magnetons per cell
electronic total energy = -71.5 eV per cell
energy of formation from the pure elements = 0.55 eV per atom



[9]
## KSc5 (PBE)

Data for an optimized crystal structure of KSc5.

CIF file:
```
data_KSc5
_chemical_formula_sum 'K2 Sc10'
_cell_length_a 5.1922
_cell_length_b 3.2607
_cell_length_c 21.4972
_cell_angle_alpha 90.00
_cell_angle_beta 90.00
_cell_angle_gamma 90.00
_space_group_name_H-M_alt 'A m m 2'
_space_group_IT_number 38
loop_
_space_group_symop_operation_xyz
'x,y,z'
'-x,-y,z'
'-x,y,z'
'x,-y,z'
'x,y+1/2,z+1/2'
'-x,-y+1/2,z+1/2'
'-x,y+1/2,z+1/2'
'x,-y+1/2,z+1/2'
loop_
_atom_site_label
_atom_site_fract_x
_atom_site_fract_y
_atom_site_fract_z
K1 0.0000 0.0000 0.0000
Sc1 0.0000 0.0000 0.3221
Sc2 0.0000 0.0000 0.6929
Sc3 0.5000 0.0000 0.2418
Sc4 0.5000 0.0000 0.6142
Sc5 0.5000 0.0000 0.8700
```

Results
magnetic moment = 2.1 Bohr magnetons per cell
electronic total energy = -61.6 eV per cell
offset from the most stable computed form = 0.545 eV per formula unit
energy of formation from the pure elements = 0.33 eV per atom



[10]
## KSc (PBE)

Data for an optimized crystal structure of KSc.

CIF file:
```
data_KSc
_chemical_formula_sum 'K8 Sc8'
_cell_length_a 11.3455
_cell_length_b 11.3455
_cell_length_c 11.3455
_cell_angle_alpha 90.00
_cell_angle_beta 90.00
_cell_angle_gamma 90.00
_space_group_name_H-M_alt 'I -4 3 m'
_space_group_IT_number 217
_space_group_name_Hall 'I -4 2 3'
loop_
_atom_site_label
_atom_site_fract_x
_atom_site_fract_y
_atom_site_fract_z
K1 0.2107 0.2107 0.2107
Sc1 0.0902 0.0902 0.9098
```

Results
magnetic moment = 0.3 Bohr magnetons per cell
electronic total energy = -43.6 eV per cell
energy of formation from the pure elements = 0.99 eV per atom



[11]
## KSc (PBE)

Data for an optimized crystal structure of KSc.

CIF file:
```
data_KSc
_chemical_formula_sum 'K8 Sc8'
_cell_length_a 13.9495
_cell_length_b 13.9495
_cell_length_c 3.5885
_cell_angle_alpha 90.00
_cell_angle_beta 90.00
_cell_angle_gamma 90.00
_space_group_name_H-M_alt 'I 4/m'
_space_group_IT_number 87
_space_group_name_Hall '-I 4'
loop_
_atom_site_label
_atom_site_fract_x
_atom_site_fract_y
_atom_site_fract_z
K1 0.1231 0.8231 0.0000
Sc1 0.0588 0.3896 0.0000
```

Results
magnetic moment = 3.5 Bohr magnetons per cell
electronic total energy = -52.5 eV per cell
energy of formation from the pure elements = 0.43 eV per atom



[12]
## KScSe2 (PBE)

Data for an optimized crystal structure of KScSe2.

CIF file:
```
data_KScSe2
_chemical_formula_sum 'K8 Sc8 Se16'
_cell_length_a 9.4452
_cell_length_b 11.3447
_cell_length_c 9.6425
_cell_angle_alpha 90.00
_cell_angle_beta 90.00
_cell_angle_gamma 90.00
_space_group_name_H-M_alt 'F d d 2'
_space_group_IT_number 43
_space_group_name_Hall 'F 2 -2d'
loop_
_atom_site_label
_atom_site_fract_x
_atom_site_fract_y
_atom_site_fract_z
K1 0.0000 0.0000 0.0000
Sc1 0.0000 0.0000 0.4492
Se1 0.0340 0.2135 0.5428
```

Results
formation energy from raw total energies = -1.485 eV/atom
magnetic moment = 0.0 Bohr magnetons per cell
electronic total energy = -162.7 eV per cell